a.
{
  "formula": "Pm3ZnGe2",
  "functional": "PBE",
  "state": "relaxed",
  "volume_a3_per_cell": 335,
  "total_magnetization_mub_per_cell": 0.0,
  "cell": [[6.040, 0.000, 0.000], [0.000, 8.422, -0.004], [-3.020, -2.114, 6.587]],
  "species": ["Zn", "Zn", "Pm", "Pm", "Pm", "Pm", "Pm", "Pm", "Ge", "Ge", "Ge", "Ge"],
  "fractional_positions": [[0.056, 0.250, 0.000], [0.944, 0.750, 0.000], [0.545, 0.250, 0.000], [0.813, 0.908, 0.632], [0.187, 0.092, 0.368], [0.818, 0.408, 0.632], [0.182, 0.592, 0.368], [0.455, 0.750, 0.000], [0.346, 0.421, 0.684], [0.654, 0.579, 0.316], [0.338, 0.921, 0.684], [0.662, 0.079, 0.316]]
}

b.
{
  "formula": "Pm3ZnGe2",
  "functional": "PBE",
  "state": "relaxed",
  "volume_a3_per_cell": 606,
  "total_magnetization_mub_per_cell": 0.0,
  "cell": [[-0.577, 4.002, -1.517], [3.836, -3.497, -10.689], [-11.073, -2.759, -3.071]],
  "species": ["Pm", "Pm", "Pm", "Pm", "Pm", "Pm", "Pm", "Pm", "Pm", "Pm", "Pm", "Pm", "Ge", "Ge", "Ge", "Ge", "Ge", "Ge", "Ge", "Ge", "Zn", "Zn", "Zn", "Zn"],
  "fractional_positions": [[0.250, 0.697, 0.202], [0.750, 0.303, 0.798], [0.250, 0.803, 0.702], [0.250, 0.436, 0.374], [0.250, 0.378, 0.058], [0.750, 0.878, 0.442], [0.750, 0.564, 0.626], [0.750, 0.936, 0.126], [0.750, 0.197, 0.298], [0.250, 0.064, 0.874], [0.750, 0.622, 0.942], [0.250, 0.122, 0.558], [0.250, 0.002, 0.312], [0.250, 0.819, 0.977], [0.750, 0.998, 0.688], [0.750, 0.502, 0.188], [0.250, 0.498, 0.812], [0.250, 0.681, 0.477], [0.750, 0.319, 0.523], [0.750, 0.181, 0.023], [0.750, 0.862, 0.862], [0.250, 0.138, 0.138], [0.750, 0.638, 0.362], [0.250, 0.362, 0.638]]
}

Stability order, top to bottom: b, a